No. 1
# Sr2Tl2Au | Alexandria via LeMat-Bulk | GGA-PBE | relaxed
data_Sr2Tl2Au
_cell_length_a 4.3686
_cell_length_b 6.4968
_cell_length_c 12.1968
_cell_angle_alpha 93.02
_cell_angle_beta 79.68
_cell_angle_gamma 70.35
_space_group_name_H-M_alt 'P 1'
_space_group_IT_number 1
_space_group_name_Hall 'P 1'
loop_
_atom_site_label
_atom_site_fract_x
_atom_site_fract_y
_atom_site_fract_z
_atom_site_occupancy
Sr1 0.6629 0.3439 0.3302 1
Sr2 0.9349 0.2499 0.8804 1
Sr3 0.3371 0.6561 0.6698 1
Sr4 0.0651 0.7501 0.1196 1
Tl1 0.1158 0.2166 0.5518 1
Tl2 0.6496 0.8061 0.8946 1
Tl3 0.8842 0.7834 0.4482 1
Tl4 0.3504 0.1939 0.1054 1
Au1 0.6224 0.0637 0.6914 1
Au2 0.3776 0.9363 0.3086 1
# energy relative to the lowest polymorph listed for this composition	0	meV per atom

---

No. 2
Sr2TlAu10 after structural relaxation. Source: Alexandria via LeMat-Bulk, functional GGA-PBE.

Cell and atoms, written as CIF:
```
data_Sr2TlAu10
_cell_length_a 5.5788
_cell_length_b 5.6721
_cell_length_c 22.5761
_cell_angle_alpha 90.00
_cell_angle_beta 89.99
_cell_angle_gamma 90.00
_space_group_name_H-M_alt 'P 1'
_space_group_IT_number 1
_space_group_name_Hall 'P 1'
loop_
_atom_site_label
_atom_site_fract_x
_atom_site_fract_y
_atom_site_fract_z
_atom_site_occupancy
Sr1 0.5000 0.3364 0.8572 1
Sr2 0.5000 0.6636 0.1428 1
Sr3 0.5000 0.8364 0.6428 1
Sr4 0.5000 0.1636 0.3572 1
Tl1 0.0000 0.5000 0.5000 1
Tl2 0.0000 0.0000 0.0000 1
Au1 0.0000 0.9393 0.5608 1
Au2 0.0000 0.0607 0.4392 1
Au3 0.0000 0.4393 0.9392 1
Au4 0.0000 0.5607 0.0608 1
Au5 0.0000 0.0572 0.6859 1
Au6 0.0000 0.9428 0.3141 1
Au7 0.2617 0.1552 0.1035 1
Au8 0.2617 0.8448 0.8965 1
Au9 0.7383 0.6552 0.3965 1
Au10 0.7383 0.3448 0.6035 1
Au11 0.7383 0.8448 0.8965 1
Au12 0.7383 0.1552 0.1035 1
Au13 0.2617 0.3448 0.6035 1
Au14 0.2617 0.6552 0.3965 1
Au15 0.0000 0.9305 0.1954 1
Au16 0.0000 0.0695 0.8046 1
Au17 0.0000 0.4305 0.3046 1
Au18 0.0000 0.5695 0.6954 1
Au19 0.0000 0.4428 0.1859 1
Au20 0.0000 0.5572 0.8141 1
```

---

M_tot in μB per formula unit, matching the order above: 0.00; 0.00
Energy of formation in meV/atom, matching the order above: -479; -217